First-principles (PBE) data for crystalline CsScW at its relaxed geometry, as listed in OQMD via LeMat-Bulk.

Values from the calculation:
V = 26.5 Å³/atom
Mass density = 7.56 g/cm³
Total energy = -4.11 eV per atom
Total magnetic moment = 0.667 μB per atom
Excess energy over the best structure of this formula in the dataset = 518 meV/atom

POSCAR file:
```
CsScW
1.0
0.0000 3.4124 3.4124
3.4124 0.0000 3.4124
3.4124 3.4124 0.0000
Cs Sc W
1 1 1
direct
0.0000 0.0000 0.0000 Cs
0.7500 0.7500 0.7500 Sc
0.2500 0.2500 0.2500 W
```